1.
A PBEsol-optimized structure of CdBrCl4, computed with meta-GGA SCAN.

abc: 5.6679 5.6679 5.6679
angles: 60.00 60.00 60.00
Closest atoms and distances in Å follow each position.
Positions (direct):
Cd 0.0000 0.0000 0.0000  12 Cl 3.32, 4 Br 3.47
Br 0.7500 0.7500 0.7500  12 Cl 3.32, 4 Cd 3.47
Cl 0.3748 0.3748 0.3748  6 Cl 2.83-2.84
Cl 0.3748 0.3748 0.8756  6 Cl 2.83-2.84
Cl 0.3748 0.8756 0.3748  6 Cl 2.83-2.84
Cl 0.8756 0.3748 0.3748  6 Cl 2.83-2.84

Calculated values
- D(E_F): 0.63 states/eV per atom
- Total energy: -79.45 eV for the cell shown
- Energy relative to the elements, uncorrected: 0.39 eV/atom

2.
A PBEsol-optimized structure of ZrCu2P, computed with meta-GGA SCAN.

abc: 5.1175 5.1175 5.1175
angles: 142.06 134.69 60.53
Closest atoms and distances in Å follow each position.
Positions (direct):
Zr 0.0000 0.0000 0.0000  4 P 2.58, 4 Cu 2.82
Cu 0.2717 0.7717 0.5000  4 Cu 2.61, 2 P 2.62, 2 Zr 2.82
Cu 0.7283 0.2283 0.5000  4 Cu 2.61, 2 P 2.62, 2 Zr 2.82
P 0.5000 0.5000 0.0000  4 Zr 2.58, 4 Cu 2.62

Calculated values
- D(E_F): 0.47 states/eV per atom
- Total energy: -72.80 eV for the cell shown
- Energy relative to the elements: -0.326 eV per atom

3.
A PBEsol-optimized structure of SrPdOF2, computed with meta-GGA SCAN.

abc: 4.1956 4.1956 4.1030
angles: 90.00 90.00 90.00
Closest atoms and distances in Å follow each position.
Positions (direct):
Sr 0.0000 0.0000 0.0000  8 F 2.93, 4 O 2.97
Pd 0.5000 0.5000 0.5000  2 O 2.05, 4 F 2.10
O 0.5000 0.5000 0.0000  2 Pd 2.05
F 0.0000 0.5000 0.5000  2 Pd 2.10
F 0.5000 0.0000 0.5000  2 Pd 2.10

Calculated values
- D(E_F): 0.25 states/eV per atom
- Total energy: -78.80 eV for the cell shown
- Energy relative to the elements, uncorrected: -2.09 eV/atom

4.
A PBEsol-optimized structure of Al2CuSi5, computed with meta-GGA SCAN.

abc: 7.6235 7.6235 7.6235
angles: 149.50 149.50 43.68
Closest atoms and distances in Å follow each position.
Positions (direct):
Al 0.2491 0.2491 0.0000  8 Si 2.72-2.74, 4 Al 2.84
Al 0.7509 0.7509 0.0000  8 Si 2.72-2.74, 4 Al 2.84
Cu 0.5000 0.5000 0.0000  12 Si 2.62-2.84
Si 0.0000 0.0000 0.0000  8 Si 2.62, 4 Cu 2.84
Si 0.1192 0.6192 0.5000  2 Cu 2.62, 6 Si 2.62-2.84, 4 Al 2.72-2.74
Si 0.3808 0.8808 0.5000  2 Cu 2.62, 6 Si 2.62-2.84, 4 Al 2.72-2.74
Si 0.6192 0.1192 0.5000  2 Cu 2.62, 6 Si 2.62-2.84, 4 Al 2.72-2.74
Si 0.8808 0.3808 0.5000  2 Cu 2.62, 6 Si 2.62-2.84, 4 Al 2.72-2.74

Calculated values
- D(E_F): 0.37 states/eV per atom
- Total energy: -77.57 eV for the cell shown
- Energy relative to the elements, uncorrected: 0.40 eV/atom

5.
A PBEsol-optimized structure of YRe2Te, computed with meta-GGA SCAN.

abc: 5.6258 5.6258 4.6796
angles: 112.39 112.39 38.13
Closest atoms and distances in Å follow each position.
Positions (direct):
Y 0.0000 0.0000 0.0000  4 Te 2.98, 6 Re 3.03-3.23
Re 0.2323 0.2323 0.6431  2 Re 2.39
Re 0.7677 0.7677 0.3569  2 Re 2.39
Te 0.5000 0.5000 0.5000  6 Re 2.93-3.18, 4 Y 2.98

Calculated values
- D(E_F): 0.58 states/eV per atom
- Total energy: -206.32 eV for the cell shown
- Energy relative to the elements, uncorrected: 0.24 eV/atom

6.
A PBEsol-optimized structure of LiCr2Tc, computed with meta-GGA SCAN.

abc: 2.4492 4.0476 4.8869
angles: 90.00 99.28 90.00
Closest atoms and distances in Å follow each position.
Positions (direct):
Li 0.0000 0.0000 0.0000  2 Li 2.45, 4 Cr 2.47-2.57, 2 Tc 2.53
Cr 0.2252 0.5000 0.7495  4 Cr 2.45-2.46, 2 Li 2.47, 2 Tc 2.55
Cr 0.4735 0.0000 0.5102  4 Cr 2.45-2.46, 2 Tc 2.50, 2 Li 2.53-2.57
Tc 0.7129 0.5000 0.2516  2 Tc 2.45, 4 Cr 2.50-2.55, 2 Li 2.53

Calculated values
- D(E_F): 0.69 states/eV per atom
- Total energy: -73.05 eV for the cell shown
- Energy relative to the elements: 0.293 eV per atom

7.
A PBEsol-optimized structure of Li2Tl, computed with meta-GGA SCAN.

abc: 4.6105 4.6105 3.0686
angles: 90.00 90.00 120.00
Closest atoms and distances in Å follow each position.
Positions (direct):
Li 0.3333 0.6667 0.0993  3 Li 2.73, 3 Tl 2.93
Li 0.6667 0.3333 0.9007  3 Li 2.73, 3 Tl 2.93
Tl 0.0000 0.0000 0.5000  12 Li 2.93-3.24, 2 Tl 3.07

Calculated values
- D(E_F): 0.33 states/eV per atom
- Total energy: -78.09 eV for the cell shown
- Energy relative to the elements: -0.318 eV per atom

8.
A PBEsol-optimized structure of MgZnSb3, computed with meta-GGA SCAN.

abc: 5.2891 5.2891 5.2891
angles: 90.00 90.00 90.00
Closest atoms and distances in Å follow each position.
Positions (direct):
Mg 0.0000 0.0000 0.0000  6 Sb 2.64
Zn 0.5000 0.5000 0.5000  12 Sb 3.74
Sb 0.0000 0.0000 0.5000  2 Mg 2.64
Sb 0.0000 0.5000 0.0000  2 Mg 2.64
Sb 0.5000 0.0000 0.0000  2 Mg 2.64

Calculated values
- D(E_F): 0.79 states/eV per atom
- Total energy: -126.51 eV for the cell shown
- Energy relative to the elements, uncorrected: 0.75 eV/atom

9.
A PBEsol-optimized structure of CaSi2N2O2, computed with meta-GGA SCAN.

abc: 7.3307 13.6382 10.4735
angles: 90.00 101.97 90.00
Closest atoms and distances in Å follow each position.
Positions (direct):
Ca 0.0809 0.0000 0.1938  5 O 2.30-2.46
Ca 0.0816 0.5690 0.4469  5 O 2.28-2.49
Ca 0.2548 0.5030 0.1432  5 O 2.30-2.57, 1 N 2.56
Ca 0.2568 0.0660 0.8843  4 O 2.31-2.58, 1 N 2.56
Ca 0.4115 0.0111 0.5507  5 O 2.33-2.60
Ca 0.4116 0.5579 0.7999  4 O 2.34-2.48
Ca 0.5884 0.0579 0.2001  4 O 2.34-2.48
Ca 0.5885 0.5111 0.4493  5 O 2.33-2.60
Ca 0.7432 0.5660 0.1157  4 O 2.31-2.58, 1 N 2.56
Ca 0.7452 0.0030 0.8568  5 O 2.30-2.57, 1 N 2.56
Ca 0.9184 0.0690 0.5531  5 O 2.28-2.49
Ca 0.9191 0.5000 0.8062  5 O 2.30-2.46
Si 0.0452 0.8441 0.4443  1 O 1.61, 3 N 1.74
Si 0.0457 0.7244 0.6907  1 O 1.62, 3 N 1.73-1.74
Si 0.0459 0.7304 0.1912  1 O 1.62, 3 N 1.72-1.75
Si 0.0469 0.8398 0.9381  1 O 1.63, 3 N 1.71-1.75
Si 0.2888 0.2365 0.6967  1 O 1.62, 3 N 1.73-1.77
Si 0.2889 0.3380 0.4436  1 O 1.63, 3 N 1.75-1.76
Si 0.2904 0.2269 0.1991  1 O 1.62, 3 N 1.74-1.76
Si 0.2899 0.3384 0.9523  1 O 1.62, 3 N 1.72-1.76
Si 0.3751 0.7286 0.5787  1 O 1.61, 3 N 1.73-1.75
Si 0.3767 0.8419 0.3326  1 O 1.62, 3 N 1.72-1.75
Si 0.3788 0.8375 0.8280  1 O 1.63, 3 N 1.73-1.74
Si 0.3809 0.7322 0.0819  1 O 1.63, 3 N 1.73-1.74
Si 0.6191 0.2322 0.9181  1 O 1.63, 3 N 1.73-1.74
Si 0.6212 0.3375 0.1720  1 O 1.63, 3 N 1.73-1.74
Si 0.6233 0.3419 0.6674  1 O 1.62, 3 N 1.72-1.75
Si 0.6249 0.2286 0.4213  1 O 1.61, 3 N 1.73-1.75
Si 0.7096 0.7269 0.8009  1 O 1.62, 3 N 1.74-1.76
Si 0.7101 0.8384 0.0477  1 O 1.62, 3 N 1.72-1.76
Si 0.7112 0.7365 0.3033  1 O 1.62, 3 N 1.73-1.77
Si 0.7111 0.8380 0.5564  1 O 1.63, 3 N 1.75-1.76
Si 0.9531 0.3398 0.0619  1 O 1.63, 3 N 1.71-1.75
Si 0.9543 0.2244 0.3093  1 O 1.62, 3 N 1.73-1.74
Si 0.9541 0.2304 0.8088  1 O 1.62, 3 N 1.72-1.75
Si 0.9548 0.3441 0.5557  1 O 1.61, 3 N 1.74
N 0.1365 0.7528 0.5549  3 Si 1.73-1.75
N 0.1373 0.8168 0.3083  3 Si 1.73-1.75
N 0.1434 0.8107 0.8072  3 Si 1.71-1.74
N 0.1443 0.7587 0.0607  3 Si 1.72-1.74
N 0.1943 0.2423 0.3371  3 Si 1.74-1.76
N 0.1944 0.3210 0.0916  3 Si 1.75-1.76
N 0.1950 0.2491 0.8385  3 Si 1.74-1.77
N 0.1945 0.3271 0.5837  3 Si 1.74-1.75
N 0.4716 0.7464 0.7436  3 Si 1.74
N 0.4725 0.8186 0.4970  3 Si 1.73-1.75
N 0.4753 0.8175 0.9919  3 Si 1.72-1.74
N 0.4765 0.7583 0.2450  3 Si 1.72-1.74
N 0.5235 0.2583 0.7550  3 Si 1.72-1.74
N 0.5247 0.3175 0.0081  3 Si 1.72-1.74
N 0.5275 0.3186 0.5030  3 Si 1.73-1.75
N 0.5284 0.2464 0.2564  3 Si 1.74
N 0.8050 0.7491 0.1615  3 Si 1.74-1.77
N 0.8055 0.8271 0.4163  3 Si 1.74-1.75
N 0.8057 0.7423 0.6629  3 Si 1.74-1.76
N 0.8056 0.8210 0.9084  3 Si 1.75-1.76
N 0.8557 0.2587 0.9393  3 Si 1.72-1.74
N 0.8566 0.3107 0.1928  3 Si 1.71-1.74
N 0.8627 0.3168 0.6917  3 Si 1.73-1.75
N 0.8635 0.2528 0.4451  3 Si 1.73-1.75
O 0.0778 0.9558 0.9733  1 Si 1.63
O 0.0791 0.6154 0.2296  1 Si 1.62
O 0.1025 0.6113 0.7265  1 Si 1.62
O 0.1054 0.9554 0.4850  1 Si 1.61
O 0.2400 0.4491 0.9016  1 Si 1.62
O 0.2415 0.1249 0.6478  1 Si 1.62
O 0.2634 0.4458 0.3759  1 Si 1.63
O 0.2654 0.1203 0.1286  1 Si 1.62
O 0.3972 0.6155 0.5395  1 Si 1.61
O 0.3969 0.9569 0.3003  1 Si 1.62
O 0.4257 0.9483 0.7872  1 Si 1.63
O 0.4270 0.6196 0.0480  1 Si 1.63
O 0.5730 0.1196 0.9520  1 Si 1.63
O 0.5743 0.4483 0.2128  1 Si 1.63
O 0.6028 0.1155 0.4605  1 Si 1.61
O 0.6031 0.4569 0.6997  1 Si 1.62
O 0.7346 0.6203 0.8714  1 Si 1.62
O 0.7366 0.9458 0.6241  1 Si 1.63
O 0.7585 0.6249 0.3522  1 Si 1.62
O 0.7600 0.9491 0.0984  1 Si 1.62
O 0.8946 0.4554 0.5150  1 Si 1.61
O 0.8975 0.1113 0.2735  1 Si 1.62
O 0.9209 0.1154 0.7704  1 Si 1.62
O 0.9222 0.4558 0.0267  1 Si 1.63

Calculated values
- D(E_F): 0.00 states/eV per atom
- Total energy: -926.87 eV for the cell shown
- Energy relative to the elements, uncorrected: -2.36 eV/atom

10.
A PBEsol-optimized structure of Be2ZnRu, computed with meta-GGA SCAN.

abc: 2.8963 2.8963 5.2049
angles: 90.00 90.00 90.00
Closest atoms and distances in Å follow each position.
Positions (direct):
Be 0.0000 0.0000 0.2110  1 Be 2.20, 4 Ru 2.32
Be 0.0000 0.0000 0.7890  1 Be 2.20, 4 Ru 2.32
Zn 0.5000 0.5000 0.5000  8 Be 2.54, 2 Ru 2.60
Ru 0.5000 0.5000 0.0000  8 Be 2.32, 2 Zn 2.60

Calculated values
- D(E_F): 0.35 states/eV per atom
- Total energy: -58.22 eV for the cell shown
- Energy relative to the elements: -0.292 eV per atom

11.
A PBEsol-optimized structure of SrTeSe2, computed with meta-GGA SCAN.

abc: 5.9558 5.9558 5.9558
angles: 135.88 135.88 64.17
Closest atoms and distances in Å follow each position.
Positions (direct):
Sr 0.0000 0.0000 0.0000  4 Te 3.16, 8 Se 3.37
Te 0.5000 0.5000 0.0000  4 Sr 3.16, 8 Se 3.37
Se 0.2500 0.7500 0.5000  4 Se 3.16, 4 Te 3.37, 4 Sr 3.37
Se 0.7500 0.2500 0.5000  4 Se 3.16, 4 Te 3.37, 4 Sr 3.37

Calculated values
- D(E_F): 0.53 states/eV per atom
- Total energy: -102.02 eV for the cell shown
- Energy relative to the elements, uncorrected: -0.58 eV/atom

12.
A PBEsol-optimized structure of KMn2Te, computed with meta-GGA SCAN.

abc: 6.3420 6.3420 6.3420
angles: 149.97 128.57 60.71
Closest atoms and distances in Å follow each position.
Positions (direct):
K 0.0000 0.0000 0.0000  4 Te 3.20, 2 K 3.29, 8 Mn 3.58-3.59
Mn 0.2912 0.7912 0.5000  2 Te 2.81
Mn 0.7088 0.2088 0.5000  2 Te 2.81
Te 0.5000 0.5000 0.0000  4 Mn 2.81

Calculated values
- D(E_F): 0.51 states/eV per atom
- Total energy: -81.46 eV for the cell shown
- Energy relative to the elements, uncorrected: 0.16 eV/atom

13.
A PBEsol-optimized structure of AsIrBr2O, computed with meta-GGA SCAN.

abc: 4.6177 4.6177 4.0623
angles: 90.00 90.00 90.00
Closest atoms and distances in Å follow each position.
Positions (direct):
As 0.0000 0.0000 0.0000  2 O 2.03
Ir 0.5000 0.5000 0.0000  8 Br 3.08, 4 As 3.27
Br 0.0000 0.5000 0.5000  2 O 2.31
Br 0.5000 0.0000 0.5000  2 O 2.31
O 0.0000 0.0000 0.5000  2 As 2.03

Calculated values
- D(E_F): 0.59 states/eV per atom
- Total energy: -129.75 eV for the cell shown
- Energy relative to the elements, uncorrected: 1.34 eV/atom
- Offset from the most stable computed form: 552 meV/atom

14.
A PBEsol-optimized structure of Si2PW, computed with meta-GGA SCAN.

abc: 3.2650 3.2650 5.0375
angles: 90.00 90.00 90.00
Closest atoms and distances in Å follow each position.
Positions (direct):
Si 0.0000 0.0000 0.2424  2 Si 2.44-2.60, 4 P 2.61, 4 W 2.65
Si 0.0000 0.0000 0.7576  2 Si 2.44-2.60, 4 P 2.61, 4 W 2.65
P 0.5000 0.5000 0.0000  2 W 2.52, 8 Si 2.61
W 0.5000 0.5000 0.5000  2 P 2.52, 8 Si 2.65

Calculated values
- D(E_F): 0.31 states/eV per atom
- Total energy: -99.09 eV for the cell shown
- Energy relative to the elements, uncorrected: 0.26 eV/atom

15.
A PBEsol-optimized structure of ReAu2SeN, computed with meta-GGA SCAN.

abc: 5.0857 5.0857 3.7028
angles: 90.00 90.00 90.00
Closest atoms and distances in Å follow each position.
Positions (direct):
Re 0.0000 0.0000 0.0000  2 N 1.85
Au 0.0000 0.5000 0.0000  2 Re 2.54
Au 0.5000 0.0000 0.0000  2 Re 2.54
Se 0.5000 0.5000 0.5000  8 Au 3.15
N 0.0000 0.0000 0.5000  2 Re 1.85

Calculated values
- D(E_F): 0.66 states/eV per atom
- Total energy: -234.44 eV for the cell shown
- Energy relative to the elements, uncorrected: 0.87 eV/atom

16.
A PBEsol-optimized structure of MnCrCo2, computed with meta-GGA SCAN.

abc: 4.2474 4.2474 2.4243
angles: 90.00 90.00 110.49
Closest atoms and distances in Å follow each position.
Positions (direct):
Mn 0.0000 0.0000 0.0000  2 Cr 2.42, 2 Mn 2.42, 8 Co 2.45
Cr 0.5000 0.5000 0.0000  2 Mn 2.42, 2 Cr 2.42, 8 Co 2.45
Co 0.0000 0.5000 0.5000  4 Co 2.42, 4 Cr 2.45, 4 Mn 2.45
Co 0.5000 0.0000 0.5000  4 Co 2.42, 4 Cr 2.45, 4 Mn 2.45

Calculated values
- D(E_F): 0.75 states/eV per atom
- Total energy: -70.70 eV for the cell shown
- Energy relative to the elements: 0.137 eV per atom

17.
A PBEsol-optimized structure of TaCoRe2, computed with meta-GGA SCAN.

abc: 3.7803 3.7803 3.9651
angles: 90.00 90.00 90.00
Closest atoms and distances in Å follow each position.
Positions (direct):
Ta 0.0000 0.0000 0.0000  4 Co 2.67, 8 Re 2.74
Co 0.5000 0.5000 0.0000  4 Ta 2.67, 8 Re 2.74
Re 0.0000 0.5000 0.5000  4 Re 2.67, 4 Co 2.74, 4 Ta 2.74
Re 0.5000 0.0000 0.5000  4 Re 2.67, 4 Co 2.74, 4 Ta 2.74

Calculated values
- D(E_F): 1.01 states/eV per atom
- Total energy: -226.06 eV for the cell shown
- Energy relative to the elements: 0.005 eV per atom
- Offset from the most stable computed form: 29 meV/atom

18.
A PBEsol-optimized structure of Ca3CrCu, computed with meta-GGA SCAN.

abc: 5.4091 5.4091 5.4091
angles: 90.00 90.00 90.00
Closest atoms and distances in Å follow each position.
Positions (direct):
Ca 0.0000 0.0000 0.5000  2 Cu 2.70
Ca 0.0000 0.5000 0.0000  2 Cu 2.70
Ca 0.5000 0.0000 0.0000  2 Cu 2.70
Cr 0.5000 0.5000 0.5000  12 Ca 3.82
Cu 0.0000 0.0000 0.0000  6 Ca 2.70

Calculated values
- D(E_F): 0.56 states/eV per atom
- Total energy: -61.12 eV for the cell shown
- Energy relative to the elements: 0.291 eV per atom

19.
A PBEsol-optimized structure of TeMoCl2, computed with meta-GGA SCAN.

abc: 3.1565 4.6229 5.4094
angles: 90.00 90.00 90.00
Closest atoms and distances in Å follow each position.
Positions (direct):
Te 0.0000 0.0000 0.0000  4 Cl 2.80, 4 Mo 3.13
Mo 0.5000 0.0000 0.5000  4 Cl 2.80, 4 Te 3.13
Cl 0.0000 0.5000 0.5000  4 Mo 2.80, 4 Cl 3.13
Cl 0.5000 0.5000 0.0000  4 Te 2.80, 4 Cl 3.13

Calculated values
- D(E_F): 0.37 states/eV per atom
- Total energy: -86.87 eV for the cell shown
- Energy relative to the elements, uncorrected: 0.31 eV/atom

20.
A PBEsol-optimized structure of BI2N2, computed with meta-GGA SCAN.

abc: 6.7637 6.7637 2.7398
angles: 90.00 90.00 90.00
Closest atoms and distances in Å follow each position.
Positions (direct):
B 0.0000 0.0000 0.0000  2 N 1.37
I 0.0000 0.5000 0.0000  2 I 2.74
I 0.5000 0.0000 0.0000  2 I 2.74
N 0.0000 0.0000 0.5000  2 B 1.37
N 0.5000 0.5000 0.5000  2 N 2.74

Calculated values
- D(E_F): 0.61 states/eV per atom
- Total energy: -95.18 eV for the cell shown
- Energy relative to the elements, uncorrected: 0.86 eV/atom